VASP calculation (PBE) on crystalline LiTlPb2O6 at its relaxed geometry.

Computed properties:
raw total energy	-5.107	eV per atom

a b c (Å): 5.6662 5.6663 5.9483
angles (deg): 61.55 61.55 60.00
Fractional positions:
Li 0.3084 0.3084 0.0750
Tl 0.8035 0.8035 0.5896
Pb 0.5251 0.5251 0.4246
Pb 0.0195 0.0195 0.9415
O 0.6197 0.2190 0.2455
O 0.2190 0.9157 0.2455
O 0.9158 0.6197 0.2455
O 0.4039 0.7136 0.7493
O 0.7136 0.1332 0.7493
O 0.1332 0.4039 0.7493

=====

VASP calculation (PBE) on crystalline Tl2Ge2B at its relaxed geometry.

Computed properties:
raw total energy	-3.229	eV per atom
energy of formation from the pure elements	0.900	eV per atom
polymorph energy (0 for the lowest one)	0.139	eV/atom

a b c (Å): 3.6165 3.6165 9.1972
angles (deg): 78.66 78.66 90.00
Fractional positions:
Tl 0.4105 0.4105 0.1791
Tl 0.5895 0.5895 0.8209
B 0.0000 0.0000 0.0000
Ge 0.7500 0.2500 0.5000
Ge 0.2500 0.7500 0.5000